Record 1
# PmHo2In (PBE-GGA, relaxed)
# volume = 28.89 A^3/atom
# crystal system = cubic
# theoretical density = 8472 kg/m3
# magnetization = 5.6 Bohr magnetons per cell
# energy of formation from the pure elements = -94 meV/atom
# raw total energy = -4.25 eV/atom
data_PmHo2In
_chemical_formula_sum 'Pm4 Ho8 In4'
_cell_length_a 7.7323
_cell_length_b 7.7323
_cell_length_c 7.7323
_cell_angle_alpha 90.00
_cell_angle_beta 90.00
_cell_angle_gamma 90.00
_symmetry_space_group_name_H-M 'F m -3 m'
_symmetry_Int_Tables_number 225
_symmetry_space_group_name_Hall '-F 4 2 3'
loop_
_atom_site_label
_atom_site_type_symbol
_atom_site_fract_x
_atom_site_fract_y
_atom_site_fract_z
Pm1 Pm 0.0000 0.0000 0.0000
Ho1 Ho 0.2500 0.2500 0.2500
In1 In 0.0000 0.0000 0.5000



Record 2
# Ac2Nd2Er (PBE-GGA, relaxed)
# volume = 38.65 A^3/atom
# crystal system = monoclinic
# theoretical density = 7818 kg/m3
# magnetization = 0.0 Bohr magnetons per cell
# energy of formation from the pure elements = 209 meV/atom
# raw total energy = -4.25 eV/atom
data_Ac2Nd2Er
_chemical_formula_sum 'Ac8 Nd8 Er4'
_cell_length_a 11.2390
_cell_length_b 7.1800
_cell_length_c 10.9722
_cell_angle_alpha 90.00
_cell_angle_beta 119.20
_cell_angle_gamma 90.00
_symmetry_space_group_name_H-M 'C 1 2/c 1'
_symmetry_Int_Tables_number 15
loop_
_symmetry_equiv_pos_as_xyz
'x,y,z'
'-x,-y,-z'
'-x,y,-z+1/2'
'x,-y,z+1/2'
'x+1/2,y+1/2,z'
'-x+1/2,-y+1/2,-z'
'-x+1/2,y+1/2,-z+1/2'
'x+1/2,-y+1/2,z+1/2'
loop_
_atom_site_label
_atom_site_type_symbol
_atom_site_fract_x
_atom_site_fract_y
_atom_site_fract_z
Ac1 Ac 0.1994 0.0008 0.3496
Nd1 Nd 0.0004 0.2244 0.9999
Er1 Er 0.0000 0.4999 0.2500



Record 3
# Sb3HIr (PBE-GGA, relaxed)
# volume = 28.18 A^3/atom
# crystal system = cubic
# theoretical density = 6582 kg/m3
# magnetization = 0.0 Bohr magnetons per cell
# raw total energy = -3.98 eV/atom
data_Sb3HIr
_chemical_formula_sum 'Sb3 H1 Ir1'
_cell_length_a 5.2036
_cell_length_b 5.2036
_cell_length_c 5.2036
_cell_angle_alpha 90.00
_cell_angle_beta 90.00
_cell_angle_gamma 90.00
_symmetry_space_group_name_H-M 'P m -3 m'
_symmetry_Int_Tables_number 221
_symmetry_space_group_name_Hall '-P 4 2 3'
loop_
_atom_site_label
_atom_site_type_symbol
_atom_site_fract_x
_atom_site_fract_y
_atom_site_fract_z
Sb1 Sb 0.0000 0.0000 0.5000
H1 H 0.5000 0.5000 0.5000
Ir1 Ir 0.0000 0.0000 0.0000



Record 4
# ScTaCu (PBE-GGA, relaxed)
# volume = 17.55 A^3/atom
# crystal system = tetragonal
# theoretical density = 9128 kg/m3
# magnetization = 0.0 Bohr magnetons per cell
# energy of formation from the pure elements = 1 meV/atom
# raw total energy = -7.43 eV/atom
data_ScTaCu
_chemical_formula_sum 'Sc2 Ta2 Cu2'
_cell_length_a 3.0239
_cell_length_b 3.0239
_cell_length_c 11.5170
_cell_angle_alpha 90.00
_cell_angle_beta 90.00
_cell_angle_gamma 90.00
_symmetry_space_group_name_H-M 'I 4 m m'
_symmetry_Int_Tables_number 107
_symmetry_space_group_name_Hall 'I 4 -2'
loop_
_atom_site_label
_atom_site_type_symbol
_atom_site_fract_x
_atom_site_fract_y
_atom_site_fract_z
Sc1 Sc 0.0000 0.0000 0.0000
Ta1 Ta 0.0000 0.0000 0.6863
Cu1 Cu 0.0000 0.0000 0.3345



Record 5
# Ac2CoGe2H4 (PBE-GGA, relaxed)
# volume = 15.80 A^3/atom
# crystal system = tetragonal
# theoretical density = 7732 kg/m3
# magnetization = 0.0 Bohr magnetons per cell
# raw total energy = -4.44 eV/atom
data_Ac2CoGe2H4
_chemical_formula_sum 'Ac4 Co2 Ge4 H8'
_cell_length_a 6.1921
_cell_length_b 6.1921
_cell_length_c 7.4187
_cell_angle_alpha 90.00
_cell_angle_beta 90.00
_cell_angle_gamma 90.00
_symmetry_space_group_name_H-M 'I 4/m m m'
_symmetry_Int_Tables_number 139
_symmetry_space_group_name_Hall '-I 4 2'
loop_
_atom_site_label
_atom_site_type_symbol
_atom_site_fract_x
_atom_site_fract_y
_atom_site_fract_z
Ac1 Ac 0.0000 0.5000 0.2500
Co1 Co 0.0000 0.0000 0.0000
Ge1 Ge 0.0000 0.0000 0.3361
H1 H 0.1815 0.1815 0.0000



Record 6
# Hg2WAu (PBE-GGA, relaxed)
# volume = 19.07 A^3/atom
# crystal system = orthorhombic
# theoretical density = 17024 kg/m3
# magnetization = 0.0 Bohr magnetons per cell
# energy of formation from the pure elements = 618 meV/atom
# raw total energy = -3.59 eV/atom
data_Hg2WAu
_chemical_formula_sum 'Hg4 W2 Au2'
_cell_length_a 6.0667
_cell_length_b 8.9972
_cell_length_c 2.7948
_cell_angle_alpha 90.00
_cell_angle_beta 90.00
_cell_angle_gamma 90.00
_symmetry_space_group_name_H-M 'C m m m'
_symmetry_Int_Tables_number 65
_symmetry_space_group_name_Hall '-C 2 2'
loop_
_atom_site_label
_atom_site_type_symbol
_atom_site_fract_x
_atom_site_fract_y
_atom_site_fract_z
Hg1 Hg 0.2500 0.2500 0.0000
W1 W 0.0000 0.0000 0.5000
Au1 Au 0.0000 0.5000 0.5000



> Look up the magnetization of the sixth one.

0.0 Bohr magnetons per cell



Repeat the third record exactly.
# Sb3HIr (PBE-GGA, relaxed)
# volume = 28.18 A^3/atom
# crystal system = cubic
# theoretical density = 6582 kg/m3
# magnetization = 0.0 Bohr magnetons per cell
# raw total energy = -3.98 eV/atom
data_Sb3HIr
_chemical_formula_sum 'Sb3 H1 Ir1'
_cell_length_a 5.2036
_cell_length_b 5.2036
_cell_length_c 5.2036
_cell_angle_alpha 90.00
_cell_angle_beta 90.00
_cell_angle_gamma 90.00
_symmetry_space_group_name_H-M 'P m -3 m'
_symmetry_Int_Tables_number 221
_symmetry_space_group_name_Hall '-P 4 2 3'
loop_
_atom_site_label
_atom_site_type_symbol
_atom_site_fract_x
_atom_site_fract_y
_atom_site_fract_z
Sb1 Sb 0.0000 0.0000 0.5000
H1 H 0.5000 0.5000 0.5000
Ir1 Ir 0.0000 0.0000 0.0000



Copy entry 3 word for word.
# Sb3HIr (PBE-GGA, relaxed)
# volume = 28.18 A^3/atom
# crystal system = cubic
# theoretical density = 6582 kg/m3
# magnetization = 0.0 Bohr magnetons per cell
# raw total energy = -3.98 eV/atom
data_Sb3HIr
_chemical_formula_sum 'Sb3 H1 Ir1'
_cell_length_a 5.2036
_cell_length_b 5.2036
_cell_length_c 5.2036
_cell_angle_alpha 90.00
_cell_angle_beta 90.00
_cell_angle_gamma 90.00
_symmetry_space_group_name_H-M 'P m -3 m'
_symmetry_Int_Tables_number 221
_symmetry_space_group_name_Hall '-P 4 2 3'
loop_
_atom_site_label
_atom_site_type_symbol
_atom_site_fract_x
_atom_site_fract_y
_atom_site_fract_z
Sb1 Sb 0.0000 0.0000 0.5000
H1 H 0.5000 0.5000 0.5000
Ir1 Ir 0.0000 0.0000 0.0000